No. 1
Crystalline Th3TaPd12 at its relaxed geometry, computed with PBE.

Calculated values
DFT total energy ... -6.77 eV/atom

Unit cell a=4.1952 b=4.1952 c=16.3823 alpha=90.00 beta=90.00 gamma=90.00
Closest atoms and distances in Å follow each position.
Fractional coordinates of all 16 atoms:
Pd1 0.5000 0.5000 0.7577  4 Th 2.97, 8 Pd 2.98
Pd2 0.0000 0.5000 0.6288  8 Pd 2.97-2.98, 4 Th 2.98-3.00
Pd3 0.5000 0.5000 0.2423  4 Th 2.97, 8 Pd 2.98
Pd4 0.5000 0.5000 0.5000  4 Th 2.97, 8 Pd 2.98
Pd5 0.5000 0.0000 0.1130  8 Pd 2.80-2.98, 2 Ta 2.80, 2 Th 2.95
Pd6 0.0000 0.5000 0.8870  2 Ta 2.80, 8 Pd 2.80-2.98, 2 Th 2.95
Pd7 0.5000 0.0000 0.3712  8 Pd 2.97-2.98, 4 Th 2.98-3.00
Pd8 0.5000 0.0000 0.8870  8 Pd 2.80-2.98, 2 Ta 2.80, 2 Th 2.95
Pd9 0.5000 0.0000 0.6288  8 Pd 2.97-2.98, 4 Th 2.98-3.00
Pd10 0.0000 0.5000 0.1130  2 Ta 2.80, 8 Pd 2.80-2.98, 2 Th 2.95
Pd11 0.0000 0.5000 0.3712  8 Pd 2.97-2.98, 4 Th 2.98-3.00
Pd12 0.5000 0.5000 0.0000  8 Pd 2.80, 4 Ta 2.97
Ta1 0.0000 0.0000 0.0000  12 Pd 2.80-2.97
Th1 0.0000 0.0000 0.2400  12 Pd 2.95-3.00
Th2 0.0000 0.0000 0.5000  12 Pd 2.97-2.98
Th3 0.0000 0.0000 0.7600  12 Pd 2.95-3.00

No. 2
Crystalline Ta2Ti4Pd at its relaxed geometry, computed with PBE.

Calculated values
DFT total energy ... -7.75 eV/atom

Unit cell a=4.7406 b=4.7406 c=7.3302 alpha=71.13 beta=71.13 gamma=90.00
Closest atoms and distances in Å follow each position.
Fractional coordinates of all 7 atoms:
Pd1 0.0000 0.0000 0.0000  6 Ti 2.37-2.54
Ta1 0.3918 0.3918 0.2165  5 Ti 2.57-2.76, 1 Ta 2.82
Ta2 0.6082 0.6082 0.7835  5 Ti 2.57-2.76, 1 Ta 2.82
Ti1 0.0000 0.5000 0.0000  2 Pd 2.37
Ti2 0.8054 0.8054 0.3892  1 Pd 2.54, 1 Ta 2.57
Ti3 0.5000 0.0000 0.0000  2 Pd 2.37
Ti4 0.1946 0.1946 0.6108  1 Pd 2.54, 1 Ta 2.57

No. 3
Crystalline TaTi2Pd2 at its relaxed geometry, computed with PBE.

Calculated values
Energy above the most stable polymorph in this dataset ... 22 meV per atom

Unit cell a=7.5430 b=7.5430 c=2.9101 alpha=90.00 beta=90.00 gamma=90.00
Closest atoms and distances in Å follow each position.
Fractional coordinates of all 10 atoms:
Ti1 0.6715 0.8285 0.5000  6 Pd 2.59-2.71
Ti2 0.1715 0.6715 0.5000  6 Pd 2.59-2.71
Ti3 0.3285 0.1715 0.5000  6 Pd 2.59-2.71
Ti4 0.8285 0.3285 0.5000  6 Pd 2.59-2.71
Pd1 0.1282 0.3718 0.0000  6 Ti 2.59-2.71, 1 Pd 2.74
Pd2 0.3718 0.8718 0.0000  6 Ti 2.59-2.71, 1 Pd 2.74
Pd3 0.6282 0.1282 0.0000  6 Ti 2.59-2.71, 1 Pd 2.74
Pd4 0.8718 0.6282 0.0000  6 Ti 2.59-2.71, 1 Pd 2.74
Ta1 0.5000 0.5000 0.0000  2 Ta 2.91, 4 Pd 2.97, 8 Ti 3.15
Ta2 0.0000 0.0000 0.0000  2 Ta 2.91, 4 Pd 2.97, 8 Ti 3.15

no.,total magnetic moment (μB per atom)
1,0.0002
2,0.3029
3,0.0000